No. 1
{
  "formula": "Sc2NbGe",
  "functional": "PBE",
  "state": "relaxed",
  "m_tot_mub_per_fu": 0.0,
  "delta_e_f_mev_per_atom": 211.8,
  "n_ef_per_ev_cell": 5.013,
  "spacegroup": "R-3m (166)",
  "lattice": [[1.808, 0.000, 10.329], [-0.904, 1.565, 10.329], [-0.904, -1.565, 10.329]],
  "species": ["Sc", "Sc", "Nb", "Ge"],
  "frac_coords": [[0.910, 0.910, 0.910], [0.090, 0.090, 0.090], [0.500, 0.500, 0.500], [0.000, 0.000, 0.000]]
}

=====

No. 2
{
  "formula": "Cs3KTi2Br9",
  "functional": "PBE",
  "state": "relaxed",
  "formation_energy_uncorrected_ev_per_atom": -1.48,
  "m_tot_mub_per_fu": 3.0,
  "n_ef_per_ev_cell": 10.792,
  "spacegroup": "P-3m1 (164)",
  "lattice": [[7.873, 0.000, 0.000], [-3.937, 6.818, 0.000], [0.000, 0.000, 9.965]],
  "species": ["Cs", "Cs", "Cs", "K", "Ti", "Ti", "Br", "Br", "Br", "Br", "Br", "Br", "Br", "Br", "Br"],
  "frac_coords": [[0.333, 0.667, 0.666], [0.000, 0.000, 0.000], [0.667, 0.333, 0.334], [0.000, 0.000, 0.500], [0.333, 0.667, 0.150], [0.667, 0.333, 0.850], [0.821, 0.179, 0.698], [0.821, 0.642, 0.698], [0.358, 0.179, 0.698], [0.642, 0.821, 0.302], [0.179, 0.358, 0.302], [0.179, 0.821, 0.302], [0.500, 0.000, 0.000], [0.000, 0.500, 0.000], [0.500, 0.500, 0.000]]
}

=====

No. 3
{
  "formula": "Hf3PbI",
  "functional": "PBE",
  "state": "relaxed",
  "formation_energy_uncorrected_ev_per_atom": 1.17,
  "m_tot_mub_per_fu": 0.0,
  "n_ef_per_ev_cell": 11.807,
  "de_polymorph_mev_per_atom": 0,
  "spacegroup": "Pm-3m (221)",
  "lattice": [[-2.223, -4.198, 2.198], [4.735, -2.057, 0.859], [0.175, 2.353, 4.672]],
  "species": ["Pb", "I", "Hf", "Hf", "Hf"],
  "frac_coords": [[0.500, 0.500, 0.500], [0.000, 0.000, 0.000], [0.000, 0.500, 0.000], [0.000, 0.000, 0.500], [0.500, 0.000, 0.000]]
}

=====

No. 4
{
  "formula": "Er2Ge4Pd3Pt",
  "functional": "PBE",
  "state": "relaxed",
  "m_tot_mub_per_fu": 0.0,
  "delta_e_f_mev_per_atom": -761.3,
  "n_ef_per_ev_cell": 6.042,
  "spacegroup": "P-4m2 (115)",
  "lattice": [[-1.194, 3.775, -1.487], [0.658, -1.349, -3.954], [-9.825, -3.308, -0.508]],
  "species": ["Er", "Er", "Ge", "Ge", "Ge", "Ge", "Pd", "Pd", "Pd", "Pt"],
  "frac_coords": [[0.500, 0.000, 0.256], [0.000, 0.500, 0.744], [0.500, 0.500, 0.000], [0.000, 0.000, 0.000], [0.500, 0.000, 0.633], [0.000, 0.500, 0.367], [0.000, 0.000, 0.500], [0.500, 0.000, 0.865], [0.000, 0.500, 0.135], [0.500, 0.500, 0.500]]
}

=====

No. 5
{
  "formula": "LiNi2As",
  "functional": "PBE",
  "state": "relaxed",
  "m_tot_mub_per_fu": 0.0,
  "delta_e_f_mev_per_atom": -125.7,
  "n_ef_per_ev_cell": 3.039,
  "spacegroup": "C2/m (12)",
  "lattice": [[4.770, 0.005, 0.003], [-1.897, 4.377, 0.003], [0.702, 1.071, 2.357]],
  "species": ["As", "Li", "Ni", "Ni"],
  "frac_coords": [[0.500, 0.000, 0.500], [0.000, 0.500, 0.500], [0.000, 0.000, 0.000], [0.500, 0.500, 0.000]]
}

=====

No. 6
{
  "formula": "Sc2CdPO",
  "functional": "PBE",
  "state": "relaxed",
  "formation_energy_uncorrected_ev_per_atom": -0.98,
  "m_tot_mub_per_fu": 0.0,
  "n_ef_per_ev_cell": 2.564,
  "spacegroup": "P4/mmm (123)",
  "lattice": [[-1.598, 3.303, 2.042], [-4.517, -0.844, -2.169], [-1.071, -2.497, 3.201]],
  "species": ["Sc", "Sc", "P", "O", "Cd"],
  "frac_coords": [[0.000, 0.000, 0.500], [0.500, 0.000, 0.000], [0.000, 0.500, 0.000], [0.000, 0.000, 0.000], [0.500, 0.500, 0.500]]
}

=====

No. 7
{
  "formula": "ZrScTeI2",
  "functional": "PBE",
  "state": "relaxed",
  "formation_energy_uncorrected_ev_per_atom": -0.06,
  "m_tot_mub_per_fu": 1.9,
  "n_ef_per_ev_cell": 7.509,
  "de_polymorph_mev_per_atom": 0,
  "spacegroup": "P4/mmm (123)",
  "lattice": [[5.660, 0.000, 0.000], [0.000, 5.660, 0.000], [0.000, 0.000, 5.707]],
  "species": ["I", "I", "Sc", "Te", "Zr"],
  "frac_coords": [[0.000, 0.500, 0.000], [0.500, 0.000, 0.000], [0.500, 0.500, 0.500], [0.000, 0.000, 0.500], [0.000, 0.000, 0.000]]
}

=====

No. 8
{
  "formula": "CaPdSCl2",
  "functional": "PBE",
  "state": "relaxed",
  "formation_energy_uncorrected_ev_per_atom": -0.42,
  "m_tot_mub_per_fu": 2.0,
  "n_ef_per_ev_cell": 6.979,
  "de_polymorph_mev_per_atom": 525,
  "spacegroup": "P4/mmm (123)",
  "lattice": [[-2.465, 3.029, -3.431], [0.131, -3.849, -3.492], [-4.890, -1.862, 1.869]],
  "species": ["Ca", "S", "Pd", "Cl", "Cl"],
  "frac_coords": [[0.000, 0.000, 0.000], [0.000, 0.000, 0.500], [0.500, 0.500, 0.500], [0.000, 0.500, 0.000], [0.500, 0.000, 0.000]]
}

=====

No. 9
{
  "formula": "Tl2SCl",
  "functional": "PBE",
  "state": "relaxed",
  "formation_energy_uncorrected_ev_per_atom": -0.41,
  "m_tot_mub_per_fu": 0.0,
  "n_ef_per_ev_cell": 6.332,
  "de_polymorph_mev_per_atom": 137,
  "spacegroup": "I-42d (122)",
  "lattice": [[7.724, 0.000, 0.000], [0.000, 7.724, 0.000], [3.862, 3.862, 4.412]],
  "species": ["Tl", "Tl", "Tl", "Tl", "S", "S", "Cl", "Cl"],
  "frac_coords": [[0.600, 0.125, 0.250], [0.150, 0.625, 0.250], [0.375, 0.400, 0.750], [0.875, 0.850, 0.750], [0.500, 0.500, 0.000], [0.250, 0.750, 0.500], [0.000, 0.000, 0.000], [0.750, 0.250, 0.500]]
}

=====

No. 10
{
  "formula": "FeRh2AuC",
  "functional": "PBE",
  "state": "relaxed",
  "m_tot_mub_per_fu": 3.1,
  "delta_e_f_mev_per_atom": 166.8,
  "n_ef_per_ev_cell": 4.214,
  "spacegroup": "P4/mmm (123)",
  "lattice": [[-0.287, 3.688, -1.715], [-2.715, 1.106, 2.833], [2.970, 1.316, 2.333]],
  "species": ["Rh", "Rh", "C", "Au", "Fe"],
  "frac_coords": [[0.000, 0.500, 0.000], [0.500, 0.000, 0.000], [0.000, 0.000, 0.000], [0.500, 0.500, 0.500], [0.000, 0.000, 0.500]]
}

=====

No. 11
{
  "formula": "NdNi4Rh",
  "functional": "PBE",
  "state": "relaxed",
  "m_tot_mub_per_fu": 1.5,
  "delta_e_f_mev_per_atom": -155.6,
  "n_ef_per_ev_cell": 9.974,
  "de_polymorph_mev_per_atom": 0,
  "spacegroup": "F-43m (216)",
  "lattice": [[4.944, 0.000, 0.000], [2.472, 4.282, 0.000], [2.472, 1.427, 4.037]],
  "species": ["Rh", "Nd", "Ni", "Ni", "Ni", "Ni"],
  "frac_coords": [[0.250, 0.250, 0.250], [0.000, 0.000, 0.000], [0.624, 0.624, 0.129], [0.624, 0.129, 0.624], [0.624, 0.624, 0.624], [0.129, 0.624, 0.624]]
}